# 1
Density functional theory data (GGA-PBE) for an optimized crystal structure of HfCuAu4.

Cell and atoms, written as POSCAR:
```
HfCuAu4
1.0
3.4547 0.0000 0.0000
0.0000 3.4547 0.0000
0.0000 0.0000 8.8935
Hf Au Cu
1 4 1
Cartesian
0.0000 0.0000 0.0000
1.7273 1.7273 1.5247
1.7273 1.7273 7.3688
0.0000 0.0000 3.0639
0.0000 0.0000 5.8296
1.7273 1.7273 4.4468
```

* total moment: 0.0 μB/f.u.
* energy relative to the elements: -253 meV per atom
* DFT total energy: -4.709 eV/atom



# 2
Density functional theory data (GGA-PBE) for an optimized crystal structure of Lu2ZnOs.

Cell and atoms, written as POSCAR:
```
Lu2ZnOs
1.0
2.0547 -3.5588 0.0000
2.0547 3.5588 0.0000
0.0000 0.0000 13.0915
Os Lu Zn
2 4 2
Cartesian
0.0000 0.0000 6.5457
0.0000 0.0000 0.0000
2.0547 -1.1863 1.3284
2.0547 -1.1863 5.2173
2.0547 1.1863 11.7630
2.0547 1.1863 7.8742
2.0547 1.1863 3.2729
2.0547 -1.1863 9.8186
```

* total moment: 0.0 μB/f.u.
* polymorph energy (0 for the lowest one): 0.2181 eV per atom
* energy relative to the elements: 69 meV per atom
* DFT total energy: -5.315 eV/atom



# 3
Density functional theory data (GGA-PBE) for an optimized crystal structure of Hf2In2Pd.

Cell and atoms, written as POSCAR:
```
Hf2In2Pd
1.0
-3.0202 3.1309 5.7969
-4.4633 5.6366 0.9141
1.5066 -6.1165 -3.5841
Hf Pd In
2 1 2
Cartesian
-3.0575 3.5821 2.7419
-4.4259 5.1854 3.9690
0.0000 0.0000 0.0000
-2.6277 0.6990 2.7841
-3.3492 1.9519 0.3427
```

* total moment: 0.0 μB/f.u.
* polymorph energy (0 for the lowest one): 0.1626 eV per atom
* DFT total energy: -5.609 eV/atom



# 4
Density functional theory data (GGA-PBE) for an optimized crystal structure of DyEr2As3.

Cell and atoms, written as POSCAR:
```
DyEr2As3
1.0
-3.9347 -0.8303 0.7401
2.4449 -2.8922 -1.5417
2.3618 -2.9391 9.2591
Er As Dy
2 3 1
Cartesian
2.2878 -4.6557 6.9396
-1.4158 -2.0059 1.5178
-0.2291 -3.4826 6.1700
0.0000 0.0000 0.0000
1.1011 -3.1789 2.2875
1.1809 -1.4695 4.6295
```

* total moment: 0.0 μB/f.u.
* DFT total energy: -6.138 eV/atom



# 5
Density functional theory data (GGA-PBE) for an optimized crystal structure of YGaCoTc.

Cell and atoms, written as POSCAR:
```
YGaCoTc
1.0
0.0000 3.1810 3.1810
3.1810 0.0000 3.1810
3.1810 3.1810 0.0000
Tc Ga Y Co
1 1 1 1
Cartesian
1.5905 1.5905 1.5905
0.0000 0.0000 0.0000
3.1810 3.1810 3.1810
4.7715 4.7715 4.7715
```

* total moment: 0.1 μB/f.u.
* polymorph energy (0 for the lowest one): 0.0000 eV per atom
* DFT total energy: -6.690 eV/atom



# 6
Density functional theory data (GGA-PBE) for an optimized crystal structure of TbZrBi.

Cell and atoms, written as POSCAR:
```
TbZrBi
1.0
0.0000 3.5495 3.5495
3.5495 0.0000 3.5495
3.5495 3.5495 0.0000
Tb Zr Bi
1 1 1
Cartesian
1.7748 1.7748 1.7748
5.3243 5.3243 5.3243
0.0000 0.0000 0.0000
```

* total moment: 0.9 μB/f.u.
* DFT total energy: -5.797 eV/atom



# 7
Density functional theory data (GGA-PBE) for an optimized crystal structure of Rb3Pr3P4S16.

Cell and atoms, written as POSCAR:
```
Rb3Pr3P4S16
1.0
9.3675 0.0000 0.0000
1.7542 10.5067 0.0000
0.5399 1.2032 14.6214
S Pr Rb P
32 6 6 8
Cartesian
2.7219 4.1157 2.4689
1.2036 2.9465 8.7029
3.7329 7.9093 1.7101
8.9396 7.5942 12.1525
9.9597 6.4340 1.3976
9.2724 1.5071 5.6204
7.0396 10.0644 5.7974
7.1430 6.7362 6.1126
8.9519 3.2412 1.9632
1.9913 6.3707 10.0948
3.6654 3.0968 5.8802
1.7019 5.2759 13.2238
3.8547 9.9939 4.3670
4.5186 4.9737 8.5088
10.1283 10.1315 2.9099
7.9962 8.6131 8.7412
5.1624 5.6089 12.1095
4.8253 8.5310 7.7625
5.2598 3.4388 0.5750
4.6220 1.6455 8.8240
7.9287 3.8007 12.9113
4.7908 2.3942 12.8264
9.6703 5.3392 4.5266
6.8363 3.1789 6.8589
10.4580 8.7634 5.9185
7.8068 1.7161 10.2544
6.4992 6.1011 2.5119
6.8708 9.3157 1.7950
2.7097 8.4688 12.6582
2.3892 10.2028 9.0010
1.5334 1.5784 11.7115
6.4018 8.2711 14.0464
8.3605 6.1303 14.5800
2.4748 0.7352 6.9438
9.1868 10.9748 7.6776
3.3011 5.5796 0.0414
3.1755 3.8125 10.7806
8.4861 7.8974 3.8408
7.9828 5.2230 9.4600
9.5244 10.7806 13.3957
6.2618 2.3662 3.7167
3.6788 6.4869 5.1614
5.3998 9.3437 10.9047
2.1372 0.9293 1.2257
6.7518 8.4539 7.1162
1.8515 10.2058 4.6437
1.5048 6.9532 11.9682
10.1568 4.7567 2.6532
5.7233 7.6710 1.4033
5.9383 4.0389 13.2181
4.9098 3.2560 7.5052
9.8101 1.5041 9.9776
```

* total moment: 0.0 μB/f.u.
* DFT total energy: -5.122 eV/atom



# 8
Density functional theory data (GGA-PBE) for an optimized crystal structure of TlAgSe.

Cell and atoms, written as POSCAR:
```
TlAgSe
1.0
-3.8840 -0.1337 -1.8581
-1.4678 -2.4264 3.2426
-2.1954 6.8067 4.0995
Tl Ag Se
2 2 2
Cartesian
-2.1612 3.2120 4.2864
-2.7102 2.3147 0.5053
0.0000 0.0000 0.0000
-2.6759 -1.2800 0.6922
-3.6639 5.2717 2.2862
-1.2074 0.2550 2.5055
```

* polymorph energy (0 for the lowest one): 0.0051 eV per atom
* DFT total energy: -3.142 eV/atom



# 9
Density functional theory data (GGA-PBE) for an optimized crystal structure of NdHfBe.

Cell and atoms, written as POSCAR:
```
NdHfBe
1.0
2.5031 -3.9068 0.0617
-1.7020 -3.8763 -1.9000
1.8238 -1.6494 -3.9351
Nd Hf Be
1 1 1
Cartesian
1.9687 -7.0743 -4.3300
0.0000 0.0000 0.0000
0.6562 -2.3581 -1.4433
```

* total moment: 0.9 μB/f.u.
* DFT total energy: -5.042 eV/atom



# 10
Density functional theory data (GGA-PBE) for an optimized crystal structure of DyFeCuSi2.

Cell and atoms, written as POSCAR:
```
DyFeCuSi2
1.0
4.7721 2.3517 -1.9202
0.4867 5.6217 -0.3884
-1.6239 -3.8931 3.7679
Cu Si Dy Fe
1 2 1 1
Cartesian
2.6294 3.9867 -1.1543
3.5338 2.2004 0.0636
2.2439 0.2448 0.6298
0.7461 2.8576 1.1126
0.0000 0.0000 0.0000
```

* total moment: 1.7 μB/f.u.
* DFT total energy: -6.074 eV/atom



# 11
Density functional theory data (GGA-PBE) for an optimized crystal structure of DyCo2Ni.

Cell and atoms, written as POSCAR:
```
DyCo2Ni
1.0
2.4471 1.4129 8.2281
-2.4471 1.4129 8.2281
0.0000 -2.8257 8.2281
Ni Dy Co
3 3 6
Cartesian
0.0000 0.0000 8.2287
0.0000 0.0000 12.3422
0.0000 0.0000 16.4556
0.0000 0.0000 21.2493
0.0000 0.0000 0.0000
0.0000 0.0000 3.4350
0.0000 -1.4155 14.4465
-1.2259 0.7078 14.4465
1.2259 -0.7078 10.2378
0.0000 1.4155 10.2378
-1.2259 -0.7078 10.2378
1.2259 0.7078 14.4465
```

* total moment: 2.3 μB/f.u.
* energy relative to the elements: -251 meV per atom
* DFT total energy: -6.347 eV/atom



# 12
Density functional theory data (GGA-PBE) for an optimized crystal structure of BaReO3.

Cell and atoms, written as POSCAR:
```
BaReO3
1.0
-1.6626 -4.2463 -3.3891
-0.1968 -0.6262 5.6436
-4.9473 1.9060 0.0389
Ba O Re
2 6 2
Cartesian
-4.3959 -0.4034 2.6619
-2.4108 -2.5631 -0.3685
-1.6618 -0.7131 4.2476
-5.2499 -2.5872 1.0545
-4.2586 0.0103 -0.1474
-1.5569 -0.3793 1.2389
-2.5481 -2.9768 2.4408
-5.1450 -2.2534 -1.9541
0.0000 0.0000 0.0000
-2.4737 0.9530 0.0195
```

* total moment: 0.0 μB/f.u.
* DFT total energy: -7.712 eV/atom



# 13
Density functional theory data (GGA-PBE) for an optimized crystal structure of HgB4Os.

Cell and atoms, written as POSCAR:
```
HgB4Os
1.0
-3.0451 -3.2686 -1.8512
-4.1990 1.3608 1.9751
3.4587 1.3780 -3.0859
B Os Hg
4 1 1
Cartesian
-1.5115 -1.7187 -3.2301
-1.6442 -1.1120 -1.6460
-2.2739 1.1888 0.2681
-2.1412 0.5821 -1.3161
-3.6221 -0.9539 0.0619
0.0000 0.0000 0.0000
```

* total moment: 0.0 μB/f.u.
* polymorph energy (0 for the lowest one): 0.3465 eV per atom
* DFT total energy: -5.551 eV/atom



# 14
Density functional theory data (GGA-PBE) for an optimized crystal structure of CdHgO2.

Cell and atoms, written as POSCAR:
```
CdHgO2
1.0
-2.4159 0.2835 2.5531
-2.6734 -2.2932 0.1714
4.7016 -3.2220 2.9776
O Hg Cd
2 1 1
Cartesian
0.6920 -3.8866 4.1301
-1.0796 -1.3451 1.5720
-0.1938 -2.6158 2.8510
0.0000 0.0000 0.0000
```

* DFT total energy: -3.465 eV/atom



# 15
Density functional theory data (GGA-PBE) for an optimized crystal structure of PrErAl.

Cell and atoms, written as POSCAR:
```
PrErAl
1.0
0.0000 3.5848 3.5848
3.5848 0.0000 3.5848
3.5848 3.5848 0.0000
Al Pr Er
1 1 1
Cartesian
1.7924 1.7924 1.7924
5.3772 5.3772 5.3772
0.0000 0.0000 0.0000
```

* total moment: 0.8 μB/f.u.
* polymorph energy (0 for the lowest one): 0.0000 eV per atom
* DFT total energy: -3.890 eV/atom



# 16
Density functional theory data (GGA-PBE) for an optimized crystal structure of Zr3Al2.

Cell and atoms, written as POSCAR:
```
Zr3Al2
1.0
-6.1999 3.9598 2.1406
-2.5772 -6.1099 3.8377
3.3607 2.1722 5.7152
Al Zr
8 12
Cartesian
-2.4290 1.6910 6.8609
-0.3435 0.2036 1.9414
-6.9998 -1.4269 6.4752
-1.5536 -0.7421 7.2710
-3.8628 0.7643 4.4226
-2.9874 -1.6689 4.8327
-5.0729 -0.1814 9.7522
1.5834 1.4491 5.2184
-5.7681 -1.4130 3.9288
-4.4580 -0.4175 7.0386
-0.9584 0.4397 4.6550
-1.4663 -3.4410 6.4286
-3.0090 -0.7371 2.0495
1.2319 -1.4258 6.2053
-2.2598 2.5230 2.4991
-0.4485 -2.5119 3.3477
-3.2994 -4.1024 3.4994
-5.4777 1.9523 2.4790
-0.5794 3.6091 5.3567
-3.9501 3.4632 5.2650
```

* total moment: 0.1 μB/f.u.
* DFT total energy: -7.029 eV/atom



# 17
Density functional theory data (GGA-PBE) for an optimized crystal structure of Cd3I2O2.

Cell and atoms, written as POSCAR:
```
Cd3I2O2
1.0
-3.4778 -2.2888 -5.2988
5.7304 0.3112 -3.8955
3.0436 -5.1493 4.0658
Cd O I
6 4 4
Cartesian
1.5090 -2.3617 -2.3657
0.0000 0.0000 0.0000
3.7872 -4.7652 -2.7628
3.4804 -2.1246 -5.6217
4.3870 -2.4191 0.0851
1.8157 -5.0023 0.4931
2.4903 -3.5299 -4.1611
2.8058 -3.5970 -0.9675
5.6083 -6.0179 -3.2133
-0.3122 -1.1090 -1.9152
-0.3498 -4.7291 -2.4237
5.7236 -5.0509 0.3097
-0.4275 -2.0760 -5.4382
5.6459 -2.3978 -2.7049
```

* DFT total energy: -2.991 eV/atom



# 18
Density functional theory data (GGA-PBE) for an optimized crystal structure of CsFeHgS3.

Cell and atoms, written as POSCAR:
```
CsFeHgS3
1.0
1.8926 -7.8984 0.0000
1.8926 7.8984 0.0000
0.0000 0.0000 10.6441
S Fe Hg Cs
6 2 2 2
Cartesian
1.8926 6.3138 10.3051
1.8926 6.3138 5.6610
1.8926 -6.3138 0.3389
1.8926 -6.3138 4.9831
1.8926 -1.0432 2.6610
1.8926 1.0432 7.9831
1.8926 0.0000 5.3220
1.8926 0.0000 0.0000
1.8926 7.2145 7.9831
1.8926 -7.2145 2.6610
1.8926 -4.0222 7.9831
1.8926 4.0222 2.6610
```

* total moment: 4.4 μB/f.u.
* DFT total energy: -3.924 eV/atom



# 19
Density functional theory data (GGA-PBE) for an optimized crystal structure of TbHo2Al3CuSi2.

Cell and atoms, written as POSCAR:
```
TbHo2Al3CuSi2
1.0
-4.0450 0.9687 0.2187
-0.3437 -2.8536 6.2824
1.5664 6.6943 -0.6798
Al Tb Si Ho Cu
3 1 2 2 1
Cartesian
-1.7322 1.3964 1.4398
-0.8284 5.5866 -0.4056
-2.2838 -1.6877 4.8987
0.7255 2.2788 3.3242
-1.7322 0.8014 4.0747
-1.0916 4.0034 1.7399
1.4262 5.5329 1.8709
0.2923 -0.1347 6.0036
0.0024 0.0076 0.0111
```

* total moment: 0.0 μB/f.u.
* DFT total energy: -5.034 eV/atom



# 20
Density functional theory data (GGA-PBE) for an optimized crystal structure of Ac3Cd2Hg4.

Cell and atoms, written as POSCAR:
```
Ac3Cd2Hg4
1.0
-3.6804 5.2601 -0.5144
-6.3736 0.9202 0.0942
3.8844 -1.1745 8.8135
Hg Ac Cd
4 3 2
Cartesian
-8.9709 5.6384 0.5090
2.8013 -0.6327 7.8843
-5.0349 3.7650 4.5671
-1.1347 1.2407 3.8262
-0.1744 1.1129 7.1645
-5.9953 3.8928 1.2289
1.9422 -0.5872 4.4068
-3.1574 2.8930 6.6571
-3.0122 2.1128 1.7363
```

* total moment: 0.0 μB/f.u.
* energy relative to the elements: -441 meV per atom
* DFT total energy: -2.141 eV/atom